Record 1
DFT (PBE) results for a geometry-optimized Tb2Pm2In3 structure.

a b c (Å): 15.224 3.663 8.377
angles (deg): 90.00 118.11 90.00
Sites, in units of the cell vectors:
Tb1 0.186 0.000 0.282
Tb2 0.314 0.500 0.718
Tb3 0.686 0.500 0.282
Tb4 0.814 0.000 0.718
Pm1 0.128 0.000 0.818
Pm2 0.372 0.500 0.182
Pm3 0.628 0.500 0.818
Pm4 0.872 0.000 0.182
In1 0.000 0.500 0.000
In2 0.081 0.500 0.451
In3 0.419 0.000 0.549
In4 0.500 0.000 0.000
In5 0.581 0.000 0.451
In6 0.919 0.500 0.549

* offset from the most stable computed form: 0.0 meV/atom
* E_tot: -4.21 eV per atom
* space-group type: C2/m
* energy of formation: -2.5 eV/f.u.

=====

Record 2
DFT (PBE) results for a geometry-optimized LaBeAs2 structure.

a b c (Å): 3.856 3.856 6.286
angles (deg): 90.00 90.00 90.00
Sites, in units of the cell vectors:
La1 0.000 0.000 0.000
Be1 0.500 0.500 0.534
As1 0.000 0.000 0.525
As2 0.500 0.500 0.183

* E_tot: -4.74 eV per atom
* space-group type: P4mm
* energy of formation: -1.0 eV/f.u.

=====

Record 3
DFT (PBE) results for a geometry-optimized BaTa2Sb structure.

a b c (Å): 4.876 4.876 8.120
angles (deg): 90.00 90.00 90.00
Sites, in units of the cell vectors:
Ba1 0.000 0.000 0.000
Ba2 0.500 0.500 0.500
Ta1 0.000 0.000 0.500
Ta2 0.000 0.500 0.250
Ta3 0.500 0.000 0.750
Ta4 0.500 0.500 0.000
Sb1 0.000 0.500 0.750
Sb2 0.500 0.000 0.250

* E_tot: -6.59 eV per atom
* E_form (uncorrected): 3.39 eV per formula unit
* space-group type: I-4m2

=====

Record 4
DFT (PBE) results for a geometry-optimized Li5Be2H12 structure.

a b c (Å): 5.436 5.436 5.916
angles (deg): 97.32 97.32 64.72
Sites, in units of the cell vectors:
Li1 0.000 0.000 0.000
Li2 0.275 0.275 0.580
Li3 0.394 0.394 0.137
Li4 0.606 0.606 0.863
Li5 0.725 0.725 0.420
Be1 0.181 0.819 0.500
Be2 0.819 0.181 0.500
H1 0.040 0.415 0.992
H2 0.050 0.050 0.347
H3 0.153 0.583 0.392
H4 0.412 0.412 0.818
H5 0.415 0.040 0.992
H6 0.417 0.847 0.608
H7 0.583 0.153 0.392
H8 0.585 0.960 0.008
H9 0.588 0.588 0.182
H10 0.847 0.417 0.608
H11 0.950 0.950 0.653
H12 0.960 0.585 0.008

* E_tot: -3.12 eV per atom
* space-group type: C2/m

=====

Record 5
DFT (PBE) results for a geometry-optimized BaNa2AlSn2 structure.

a b c (Å): 4.880 9.030 8.444
angles (deg): 90.00 90.00 90.00
Sites, in units of the cell vectors:
Ba1 0.000 0.069 0.000
Ba2 0.000 0.931 0.500
Na1 0.000 0.347 0.332
Na2 0.000 0.653 0.832
Na3 0.500 0.439 0.018
Na4 0.500 0.561 0.518
Al1 0.500 0.170 0.649
Al2 0.500 0.830 0.149
Sn1 0.000 0.333 0.700
Sn2 0.000 0.667 0.200
Sn3 0.500 0.130 0.299
Sn4 0.500 0.870 0.799

* E_tot: -3.00 eV per atom
* space-group type: Pmc2_1
* energy of formation: -1.7 eV/f.u.

=====

Record 6
DFT (PBE) results for a geometry-optimized La4AlZn3 structure.

a b c (Å): 9.248 9.248 9.248
angles (deg): 33.49 33.49 33.49
Sites, in units of the cell vectors:
La1 0.124 0.124 0.124
La2 0.374 0.374 0.374
La3 0.626 0.626 0.626
La4 0.876 0.876 0.876
Al1 0.500 0.500 0.500
Zn1 0.000 0.000 0.000
Zn2 0.249 0.249 0.249
Zn3 0.751 0.751 0.751

* E_tot: -3.73 eV per atom
* space-group type: R-3m
* energy of formation: -2.6 eV/f.u.

=====

Record 7
DFT (PBE) results for a geometry-optimized Sr2Ag2Te structure.

a b c (Å): 8.699 8.699 4.470
angles (deg): 90.00 90.00 90.00
Sites, in units of the cell vectors:
Sr1 0.174 0.326 0.000
Sr2 0.326 0.826 0.000
Sr3 0.674 0.174 0.000
Sr4 0.826 0.674 0.000
Ag1 0.117 0.617 0.500
Ag2 0.383 0.117 0.500
Ag3 0.617 0.883 0.500
Ag4 0.883 0.383 0.500
Te1 0.000 0.000 0.000
Te2 0.500 0.500 0.000

* offset from the most stable computed form: 176.6 meV/atom
* E_tot: -2.92 eV per atom
* E_form (uncorrected): -2.38 eV per formula unit
* space-group type: P4/mbm

=====

Record 8
DFT (PBE) results for a geometry-optimized Si2HgP structure.

a b c (Å): 3.751 3.802 5.140
angles (deg): 90.00 90.00 90.00
Sites, in units of the cell vectors:
Si1 0.000 0.000 0.000
Si2 0.500 0.500 0.000
Hg1 0.000 0.500 0.500
P1 0.500 0.000 0.500

* offset from the most stable computed form: 445.3 meV/atom
* E_tot: -3.44 eV per atom
* E_form (uncorrected): 2.80 eV per formula unit
* space-group type: Pmmm

=====

Record 9
DFT (PBE) results for a geometry-optimized Mn2MoP structure.

a b c (Å): 3.294 3.023 10.589
angles (deg): 90.00 90.00 90.00
Sites, in units of the cell vectors:
Mn1 0.000 0.000 0.000
Mn2 0.000 0.500 0.500
Mn3 0.500 0.000 0.389
Mn4 0.500 0.500 0.889
Mo1 0.500 0.000 0.656
Mo2 0.500 0.500 0.156
P1 0.000 0.000 0.250
P2 0.000 0.500 0.750

* E_tot: -8.80 eV per atom
* space-group type: Amm2
* energy of formation: -0.6 eV/f.u.

=====

Record 10
DFT (PBE) results for a geometry-optimized Na3Pm2NpS6 structure.

a b c (Å): 7.074 7.074 7.084
angles (deg): 99.57 99.57 120.01
Sites, in units of the cell vectors:
Na1 0.000 0.000 0.000
Na2 0.333 0.667 0.000
Na3 0.667 0.333 0.000
Pm1 0.167 0.833 0.500
Pm2 0.833 0.167 0.500
Np1 0.500 0.500 0.500
S1 0.093 0.423 0.269
S2 0.248 0.248 0.731
S3 0.423 0.093 0.269
S4 0.577 0.907 0.731
S5 0.752 0.752 0.269
S6 0.907 0.577 0.731

* E_tot: -5.91 eV per atom
* E_form (uncorrected): -19.72 eV per formula unit
* space-group type: C2/m

=====

Record 11
DFT (PBE) results for a geometry-optimized CoHg3Bi structure.

a b c (Å): 5.027 5.027 5.027
angles (deg): 90.00 90.00 90.00
Sites, in units of the cell vectors:
Co1 0.000 0.000 0.000
Hg1 0.000 0.000 0.500
Hg2 0.000 0.500 0.000
Hg3 0.500 0.000 0.000
Bi1 0.500 0.500 0.500

* offset from the most stable computed form: 0.0 meV/atom
* E_tot: -1.92 eV per atom
* space-group type: Pm-3m
* energy of formation: 2.3 eV/f.u.

=====

Record 12
DFT (PBE) results for a geometry-optimized CePa2NiN5 structure.

a b c (Å): 7.189 7.189 7.189
angles (deg): 126.21 126.21 79.55
Sites, in units of the cell vectors:
Ce1 0.250 0.250 0.000
Ce2 0.750 0.750 0.000
Pa1 0.168 0.668 0.837
Pa2 0.332 0.168 0.500
Pa3 0.668 0.832 0.500
Pa4 0.832 0.332 0.163
Ni1 0.250 0.750 0.500
Ni2 0.750 0.250 0.500
N1 0.000 0.000 0.000
N2 0.022 0.209 0.500
N3 0.209 0.709 0.187
N4 0.291 0.478 0.500
N5 0.478 0.978 0.187
N6 0.500 0.500 0.000
N7 0.522 0.022 0.813
N8 0.709 0.522 0.500
N9 0.791 0.291 0.813
N10 0.978 0.791 0.500

* E_tot: -9.23 eV per atom
* E_form (uncorrected): -10.78 eV per formula unit
* space-group type: I4/mcm

=====

Record 13
DFT (PBE) results for a geometry-optimized Lu2HfO structure.

a b c (Å): 3.084 3.084 7.975
angles (deg): 90.00 90.00 90.00
Sites, in units of the cell vectors:
Lu1 0.000 0.000 0.192
Lu2 0.000 0.000 0.808
Hf1 0.500 0.500 0.500
O1 0.500 0.500 0.000

* offset from the most stable computed form: 148.8 meV/atom
* E_tot: -6.90 eV per atom
* E_form (uncorrected): -3.65 eV per formula unit
* space-group type: P4/mmm

=====

Record 14
DFT (PBE) results for a geometry-optimized TmTcBr structure.

a b c (Å): 11.904 11.904 11.904
angles (deg): 19.59 19.59 19.59
Sites, in units of the cell vectors:
Tm1 0.061 0.061 0.061
Tm2 0.939 0.939 0.939
Tc1 0.338 0.338 0.338
Tc2 0.662 0.662 0.662
Br1 0.220 0.220 0.220
Br2 0.780 0.780 0.780

* E_tot: -6.40 eV per atom
* E_form (uncorrected): -2.69 eV per formula unit
* space-group type: R-3m

=====

Record 15
DFT (PBE) results for a geometry-optimized Ce2PmCd structure.

a b c (Å): 3.333 3.333 37.640
angles (deg): 90.00 90.00 120.00
Sites, in units of the cell vectors:
Ce1 0.000 0.000 0.088
Ce2 0.000 0.000 0.912
Ce3 0.333 0.667 0.579
Ce4 0.333 0.667 0.754
Ce5 0.667 0.333 0.246
Ce6 0.667 0.333 0.421
Pm1 0.000 0.000 0.500
Pm2 0.333 0.667 0.167
Pm3 0.667 0.333 0.833
Cd1 0.000 0.000 0.000
Cd2 0.333 0.667 0.667
Cd3 0.667 0.333 0.333

* offset from the most stable computed form: 265.3 meV/atom
* E_tot: -4.14 eV per atom
* space-group type: R-3m
* energy of formation: 1.0 eV/f.u.

=====

Record 16
DFT (PBE) results for a geometry-optimized KPb2Se structure.

a b c (Å): 3.865 5.331 12.272
angles (deg): 90.00 90.00 90.00
Sites, in units of the cell vectors:
K1 0.000 0.000 0.000
K2 0.500 0.500 0.500
Pb1 0.000 0.500 0.202
Pb2 0.000 0.500 0.798
Pb3 0.500 0.000 0.298
Pb4 0.500 0.000 0.702
Se1 0.000 0.000 0.500
Se2 0.500 0.500 0.000

* E_tot: -3.40 eV per atom
* E_form (uncorrected): -1.60 eV per formula unit
* space-group type: Immm

=====

Record 17
DFT (PBE) results for a geometry-optimized TeIr2Rh structure.

a b c (Å): 4.076 4.076 7.827
angles (deg): 90.00 90.00 90.00
Sites, in units of the cell vectors:
Te1 0.000 0.000 0.000
Te2 0.500 0.500 0.500
Ir1 0.000 0.000 0.500
Ir2 0.000 0.500 0.750
Ir3 0.500 0.000 0.250
Ir4 0.500 0.500 0.000
Rh1 0.000 0.500 0.250
Rh2 0.500 0.000 0.750

* E_tot: -6.69 eV per atom
* E_form (uncorrected): 1.45 eV per formula unit
* space-group type: I-4m2

=====

Record 18
DFT (PBE) results for a geometry-optimized Ce2ZnPd8 structure.

a b c (Å): 7.964 7.964 7.964
angles (deg): 145.80 135.76 57.08
Sites, in units of the cell vectors:
Ce1 0.182 0.182 0.000
Ce2 0.818 0.818 0.000
Zn1 0.500 0.500 0.000
Pd1 0.104 0.363 0.740
Pd2 0.254 0.000 0.254
Pd3 0.320 0.820 0.500
Pd4 0.377 0.637 0.740
Pd5 0.623 0.363 0.260
Pd6 0.680 0.180 0.500
Pd7 0.746 0.000 0.746
Pd8 0.896 0.637 0.260

* E_tot: -5.53 eV per atom
* space-group type: Immm
* energy of formation: -6.1 eV/f.u.

=====

Record 19
DFT (PBE) results for a geometry-optimized Ti2IrI structure.

a b c (Å): 6.569 6.569 6.569
angles (deg): 90.00 90.00 90.00
Sites, in units of the cell vectors:
Ti1 0.250 0.250 0.250
Ti2 0.250 0.250 0.750
Ti3 0.250 0.750 0.250
Ti4 0.250 0.750 0.750
Ti5 0.750 0.250 0.250
Ti6 0.750 0.250 0.750
Ti7 0.750 0.750 0.250
Ti8 0.750 0.750 0.750
Ir1 0.000 0.000 0.000
Ir2 0.000 0.500 0.500
Ir3 0.500 0.000 0.500
Ir4 0.500 0.500 0.000
I1 0.000 0.000 0.500
I2 0.000 0.500 0.000
I3 0.500 0.000 0.000
I4 0.500 0.500 0.500

* offset from the most stable computed form: 0.0 meV/atom
* E_tot: -6.44 eV per atom
* E_form (uncorrected): 0.43 eV per formula unit
* space-group type: Fm-3m

=====

Record 20
DFT (PBE) results for a geometry-optimized CaLaEr2Hg4 structure.

a b c (Å): 9.329 9.329 9.329
angles (deg): 33.02 33.02 33.02
Sites, in units of the cell vectors:
Ca1 0.000 0.000 0.000
La1 0.500 0.500 0.500
Er1 0.253 0.253 0.253
Er2 0.747 0.747 0.747
Hg1 0.121 0.121 0.121
Hg2 0.374 0.374 0.374
Hg3 0.626 0.626 0.626
Hg4 0.879 0.879 0.879

* E_tot: -2.65 eV per atom
* space-group type: R-3m
* energy of formation: -3.9 eV/f.u.

=====

Record 21
DFT (PBE) results for a geometry-optimized Pr9Dy4Zn11 structure.

a b c (Å): 13.545 13.545 3.556
angles (deg): 90.00 90.00 111.04
Sites, in units of the cell vectors:
Pr1 0.000 0.000 0.000
Pr2 0.128 0.641 0.000
Pr3 0.292 0.461 0.000
Pr4 0.359 0.872 0.000
Pr5 0.461 0.292 0.000
Pr6 0.539 0.708 0.000
Pr7 0.641 0.128 0.000
Pr8 0.708 0.539 0.000
Pr9 0.872 0.359 0.000
Dy1 0.060 0.248 0.000
Dy2 0.248 0.060 0.000
Dy3 0.752 0.940 0.000
Dy4 0.940 0.752 0.000
Zn1 0.083 0.438 0.500
Zn2 0.137 0.863 0.500
Zn3 0.240 0.240 0.500
Zn4 0.334 0.666 0.500
Zn5 0.438 0.083 0.500
Zn6 0.500 0.500 0.500
Zn7 0.562 0.917 0.500
Zn8 0.666 0.334 0.500
Zn9 0.760 0.760 0.500
Zn10 0.863 0.137 0.500
Zn11 0.917 0.562 0.500

* E_tot: -3.37 eV per atom
* space-group type: Cmmm
* energy of formation: -5.5 eV/f.u.

=====

Record 22
DFT (PBE) results for a geometry-optimized NdSmEuTl structure.

a b c (Å): 7.955 7.955 7.955
angles (deg): 90.00 90.00 90.00
Sites, in units of the cell vectors:
Nd1 0.000 0.000 0.000
Nd2 0.000 0.500 0.500
Nd3 0.500 0.000 0.500
Nd4 0.500 0.500 0.000
Sm1 0.000 0.000 0.500
Sm2 0.000 0.500 0.000
Sm3 0.500 0.000 0.000
Sm4 0.500 0.500 0.500
Eu1 0.250 0.250 0.250
Eu2 0.250 0.750 0.750
Eu3 0.750 0.250 0.750
Eu4 0.750 0.750 0.250
Tl1 0.250 0.250 0.750
Tl2 0.250 0.750 0.250
Tl3 0.750 0.250 0.250
Tl4 0.750 0.750 0.750

* E_tot: -5.61 eV per atom
* space-group type: F-43m
* energy of formation: -0.3 eV/f.u.

=====

Record 23
DFT (PBE) results for a geometry-optimized SrMg2CuO4 structure.

a b c (Å): 5.676 5.676 11.115
angles (deg): 90.00 90.00 147.40
Sites, in units of the cell vectors:
Sr1 0.122 0.878 0.750
Sr2 0.878 0.122 0.250
Mg1 0.371 0.629 0.537
Mg2 0.371 0.629 0.963
Mg3 0.629 0.371 0.037
Mg4 0.629 0.371 0.463
Cu1 0.146 0.854 0.250
Cu2 0.854 0.146 0.750
O1 0.000 0.000 0.000
O2 0.000 0.000 0.500
O3 0.255 0.745 0.109
O4 0.255 0.745 0.391
O5 0.450 0.550 0.750
O6 0.550 0.450 0.250
O7 0.745 0.255 0.609
O8 0.745 0.255 0.891

* E_tot: -5.59 eV per atom
* E_form (uncorrected): -15.93 eV per formula unit
* space-group type: Cmcm

=====

Record 24
DFT (PBE) results for a geometry-optimized Pm2Cu3AgGe4 structure.

a b c (Å): 4.253 4.253 10.215
angles (deg): 90.00 90.00 90.00
Sites, in units of the cell vectors:
Pm1 0.000 0.500 0.243
Pm2 0.500 0.000 0.757
Cu1 0.000 0.500 0.875
Cu2 0.500 0.000 0.125
Cu3 0.500 0.500 0.500
Ag1 0.000 0.000 0.500
Ge1 0.000 0.000 0.000
Ge2 0.000 0.500 0.642
Ge3 0.500 0.000 0.358
Ge4 0.500 0.500 0.000

* E_tot: -4.78 eV per atom
* space-group type: P-4m2
* energy of formation: -4.7 eV/f.u.